# 1
Below is a relaxed K2TbZrSe4 crystal, with properties calculated at the PBE-GGA level.

```
8
Lattice="7.0856 0.0000 0.0000 0.0000 4.0556 0.0000 -2.3241 0.0000 7.7366" Properties=species:S:1:pos:R:3 pbc="T T T"
K 0.0000 0.0000 0.0000
K 3.5428 2.0278 0.0000
Tb -1.1621 2.0278 3.8683
Zr 2.3807 0.0000 3.8683
Se 0.1074 0.0000 5.4711
Se 1.2679 2.0278 2.2979
Se 3.4936 2.0278 5.4387
Se 4.6540 0.0000 2.2655
```

Summary:
Formation energy (no corrections), meV per atom: -1526
E, eV per atom: -5.19

---

# 2
Below is a relaxed CaSb2Cl crystal, with properties calculated at the PBE-GGA level.

```
4
Lattice="3.8997 0.0000 0.0000 0.0000 3.8997 0.0000 0.0000 0.0000 7.6258" Properties=species:S:1:pos:R:3 pbc="T T T"
Ca 0.0000 0.0000 0.0000
Sb 0.0000 0.0000 4.0863
Sb 1.9498 1.9498 5.2793
Cl 1.9498 1.9498 1.1619
```

Summary:
Relative energy among the computed polymorphs, eV/atom: 0.099
Formation energy (no corrections), meV per atom: -872
E, eV per atom: -3.90

---

# 3
Below is a relaxed LiNd2Th crystal, with properties calculated at the PBE-GGA level.

```
4
Lattice="0.0000 3.9704 3.9704 3.9704 0.0000 3.9704 3.9704 3.9704 0.0000" Properties=species:S:1:pos:R:3 pbc="T T T"
Li 0.0000 0.0000 0.0000
Nd 1.9852 1.9852 1.9852
Nd 5.9556 5.9556 5.9556
Th 3.9704 3.9704 3.9704
```

Summary:
Relative energy among the computed polymorphs, eV/atom: 0.232
E, eV per atom: -4.45
Calculated formation energy, eV/atom: 0.269

---

# 4
Below is a relaxed Rb2MoPtC crystal, with properties calculated at the PBE-GGA level.

```
5
Lattice="6.8180 0.0000 0.0000 0.0000 6.8180 0.0000 0.0000 0.0000 4.7709" Properties=species:S:1:pos:R:3 pbc="T T T"
Rb 0.0000 3.4090 0.0000
Rb 3.4090 0.0000 0.0000
Mo 0.0000 0.0000 0.0000
Pt 0.0000 0.0000 2.3854
C 3.4090 3.4090 2.3854
```

Summary:
E, eV per atom: -3.60
Calculated formation energy, eV/atom: 2.010

---

# 5
Below is a relaxed Cs3PmHo2Te6 crystal, with properties calculated at the PBE-GGA level.

```
12
Lattice="3.9633 -6.8654 0.0000 3.9633 6.8654 0.0000 -2.6418 0.0000 8.9256" Properties=species:S:1:pos:R:3 pbc="T T T"
Cs 0.0000 0.0000 0.0000
Cs 3.9633 2.2635 0.0000
Cs 3.9633 -2.2635 0.0000
Pm 2.6424 0.0000 4.4628
Ho 2.6424 4.5745 4.4628
Ho 2.6424 -4.5745 4.4628
Te 1.2940 2.3349 2.7613
Te -0.0536 0.0000 6.1581
Te 1.2940 -2.3349 2.7613
Te 3.9908 2.3349 6.1643
Te 5.3383 0.0000 2.7676
Te 3.9908 -2.3349 6.1643
```

Summary:
Formation energy (no corrections), meV per atom: -1388
E, eV per atom: -4.33

---

# 6
Below is a relaxed K2Pr2TcO6 crystal, with properties calculated at the PBE-GGA level.

```
11
Lattice="3.0372 -5.1912 0.0000 3.0372 5.1912 0.0000 -1.6836 0.0000 6.4007" Properties=species:S:1:pos:R:3 pbc="T T T"
K 3.0372 3.5858 0.0000
K 3.0372 -3.5858 0.0000
Pr 2.1954 1.7050 3.2003
Pr 2.1954 -1.7050 3.2003
Tc -0.8418 0.0000 3.2003
O 0.0473 1.5654 4.3047
O 0.8983 0.0000 2.0594
O 0.0473 -1.5654 4.3047
O 4.3435 1.5654 2.0960
O 3.4924 0.0000 4.3413
O 4.3435 -1.5654 2.0960
```

Summary:
Formation energy (no corrections), meV per atom: -2208
E, eV per atom: -6.92